Entry 1:
A plane-wave DFT calculation with PBE was carried out for a geometry-optimized CsLiAlH6 structure. Values from VASP.

Quantum ESPRESSO input file:
```
&SYSTEM
  ibrav = 0, nat = 9, ntyp = 4
/
ATOMIC_SPECIES
Cs 132.91 Cs.upf
Li 6.94 Li.upf
Al 26.98 Al.upf
H 1.01 H.upf
CELL_PARAMETERS angstrom
4.922 0.003 0.001
2.464 4.261 -0.001
0.001 -0.002 6.095
ATOMIC_POSITIONS angstrom
Cs 0.002 -0.002 6.095
Li 4.923 2.841 3.047
Al 2.463 1.421 3.047
H 1.129 1.776 1.978
H 2.103 0.088 4.117
H 3.797 1.775 4.116
H 1.487 2.397 4.116
H 3.437 2.399 1.979
H 2.820 0.088 1.979
```

Output
* magnetization: 0.11 μB per atom
* calculated total energy: -2.966 eV/atom

***

Entry 2:
A plane-wave DFT calculation with PBE was carried out for a geometry-optimized CsMnAlH6 structure. Values from VASP.

Quantum ESPRESSO input file:
```
&SYSTEM
  ibrav = 0, nat = 9, ntyp = 4
/
ATOMIC_SPECIES
Cs 132.91 Cs.upf
Mn 54.94 Mn.upf
Al 26.98 Al.upf
H 1.01 H.upf
CELL_PARAMETERS angstrom
-4.045 -1.031 -1.597
-0.388 -2.015 -3.971
0.317 -5.607 2.814
ATOMIC_POSITIONS angstrom
Cs -0.071 -7.622 -1.157
Mn -2.797 -4.834 -2.305
Al -1.319 -3.819 -0.449
H -4.022 -3.824 -2.692
H -2.241 -6.303 -2.757
H -2.070 -5.387 -0.949
H -3.908 -5.858 -1.680
H -2.179 -3.358 -1.973
H -2.363 -4.275 -3.778
```

Output
* magnetization: 0.16 μB per atom
* calculated total energy: -3.899 eV/atom

***

Entry 3:
A plane-wave DFT calculation with PBE was carried out for a geometry-optimized CsNa2AlH6 structure. Values from VASP.

Quantum ESPRESSO input file:
```
&SYSTEM
  ibrav = 0, nat = 10, ntyp = 4
/
ATOMIC_SPECIES
Cs 132.91 Cs.upf
Na 22.99 Na.upf
Al 26.98 Al.upf
H 1.01 H.upf
CELL_PARAMETERS angstrom
6.118 0.352 0.254
3.150 5.256 0.254
3.150 1.906 4.905
ATOMIC_POSITIONS angstrom
Cs 5.705 3.452 2.486
Na 2.622 1.587 1.143
Na 8.566 5.184 3.733
Al 0.186 0.113 0.081
H 8.205 7.020 4.840
H 10.026 5.862 2.271
H 2.829 2.153 3.293
H 4.684 0.741 0.998
H 9.844 4.106 5.124
H 3.220 3.601 0.386
```

Output
* magnetization: 0.00 μB per atom
* calculated total energy: -2.903 eV/atom

***

Entry 4:
A plane-wave DFT calculation with PBE was carried out for a geometry-optimized CsAlNi2H8 structure. Values from VASP.

Quantum ESPRESSO input file:
```
&SYSTEM
  ibrav = 0, nat = 12, ntyp = 4
/
ATOMIC_SPECIES
Cs 132.91 Cs.upf
Al 26.98 Al.upf
Ni 58.69 Ni.upf
H 1.01 H.upf
CELL_PARAMETERS angstrom
-1.422 2.685 -3.378
-3.552 -1.241 -2.547
-6.096 3.852 2.573
ATOMIC_POSITIONS angstrom
Cs -5.535 2.648 -1.676
Al 0.000 0.000 0.000
Ni -2.050 0.779 -1.573
Ni -9.019 4.517 -1.779
H -2.974 1.481 -0.627
H -2.776 1.842 -2.514
H -8.096 3.815 -2.725
H -4.398 2.279 -4.421
H -6.672 3.017 1.069
H -4.600 0.154 -3.043
H -6.470 5.143 -0.309
H -8.294 3.454 -0.837
```

Output
* magnetization: 0.02 μB per atom
* calculated total energy: -3.548 eV/atom

***

Entry 5:
A plane-wave DFT calculation with PBE was carried out for a geometry-optimized CsAlH24S2O20 structure. Values from VASP.

Quantum ESPRESSO input file:
```
&SYSTEM
  ibrav = 0, nat = 192, ntyp = 5
/
ATOMIC_SPECIES
Cs 132.91 Cs.upf
Al 26.98 Al.upf
H 1.01 H.upf
S 32.06 S.upf
O 16.00 O.upf
CELL_PARAMETERS angstrom
12.450 0.000 0.000
0.000 12.450 0.000
0.000 0.000 12.450
ATOMIC_POSITIONS angstrom
Cs 0.000 0.000 6.225
Cs 0.000 6.225 0.000
Cs 6.225 0.000 0.000
Cs 6.225 6.225 6.225
Al 6.225 6.225 0.000
Al 6.225 0.000 6.225
Al 0.000 6.225 6.225
Al 0.000 0.000 0.000
H 2.778 6.325 2.979
H 9.671 0.101 3.246
H 3.446 6.124 9.204
H 9.003 12.349 9.471
H 2.979 2.778 6.325
H 3.246 9.671 0.101
H 9.204 3.446 6.124
H 9.471 9.003 12.349
H 6.325 2.979 2.778
H 0.101 3.246 9.671
H 6.124 9.204 3.446
H 12.349 9.471 9.003
H 9.671 6.124 9.471
H 2.778 12.349 9.204
H 9.003 6.325 3.246
H 3.446 0.101 2.979
H 9.471 9.671 6.124
H 9.204 2.778 12.349
H 3.246 9.003 6.325
H 2.979 3.446 0.101
H 6.124 9.471 9.671
H 12.349 9.204 2.778
H 6.325 3.246 9.003
H 0.101 2.979 3.446
H 2.280 7.804 2.875
H 10.170 1.579 3.349
H 3.945 4.646 9.100
H 8.504 10.871 9.574
H 2.875 2.280 7.804
H 3.349 10.170 1.579
H 9.100 3.945 4.646
H 9.574 8.504 10.871
H 7.804 2.875 2.280
H 1.579 3.349 10.170
H 4.646 9.100 3.945
H 10.871 9.574 8.504
H 10.170 4.646 9.574
H 2.280 10.871 9.100
H 8.504 7.804 3.349
H 3.945 1.579 2.875
H 9.574 10.170 4.646
H 9.100 2.280 10.871
H 3.349 8.504 7.804
H 2.875 3.945 1.579
H 4.646 9.574 10.170
H 10.871 9.100 2.280
H 7.804 3.349 8.504
H 1.579 2.875 3.945
H 5.948 8.722 11.625
H 6.502 2.497 7.050
H 0.277 3.728 5.400
H 12.173 9.953 0.825
H 11.625 5.948 8.722
H 7.050 6.502 2.497
H 5.400 0.277 3.728
H 0.825 12.173 9.953
H 8.722 11.625 5.948
H 2.497 7.050 6.502
H 3.728 5.400 0.277
H 9.953 0.825 12.173
H 6.502 3.728 0.825
H 5.948 9.953 5.400
H 12.173 8.722 7.050
H 0.277 2.497 11.625
H 0.825 6.502 3.728
H 5.400 5.948 9.953
H 7.050 12.173 8.722
H 11.625 0.277 2.497
H 3.728 0.825 6.502
H 9.953 5.400 5.948
H 8.722 7.050 12.173
H 2.497 11.625 0.277
H 6.503 8.689 0.735
H 5.947 2.464 5.490
H 12.172 3.761 6.960
H 0.278 9.986 11.714
H 0.735 6.503 8.689
H 5.490 5.947 2.464
H 6.960 12.172 3.761
H 11.714 0.278 9.986
H 8.689 0.735 6.503
H 2.464 5.490 5.947
H 3.761 6.960 12.172
H 9.986 11.714 0.278
H 5.947 3.761 11.714
H 6.503 9.986 6.960
H 0.278 8.689 5.490
H 12.172 2.464 0.735
H 11.714 5.947 3.761
H 6.960 6.503 9.986
H 5.490 0.278 8.689
H 0.735 12.172 2.464
H 3.761 11.714 5.947
H 9.986 6.960 6.503
H 8.689 5.490 0.278
H 2.464 0.735 12.172
S 2.133 10.317 4.092
S 10.317 4.092 2.133
S 4.092 2.133 10.317
S 8.358 8.358 8.358
S 10.317 2.133 8.358
S 2.133 8.358 10.317
S 8.358 10.317 2.133
S 4.092 4.092 4.092
O 3.001 9.449 3.224
O 9.449 3.224 3.001
O 3.224 3.001 9.449
O 9.226 9.226 9.226
O 9.449 3.001 9.226
O 3.001 9.226 9.449
O 9.226 9.449 3.001
O 3.224 3.224 3.224
O 0.779 9.702 4.219
O 11.671 3.477 2.006
O 5.446 2.748 10.444
O 7.004 8.973 8.231
O 4.219 0.779 9.702
O 2.006 11.671 3.477
O 10.444 5.446 2.748
O 8.231 7.004 8.973
O 9.702 4.219 0.779
O 3.477 2.006 11.671
O 2.748 10.444 5.446
O 8.973 8.231 7.004
O 11.671 2.748 8.231
O 0.779 8.973 10.444
O 7.004 9.702 2.006
O 5.446 3.477 4.219
O 8.231 11.671 2.748
O 10.444 0.779 8.973
O 2.006 7.004 9.702
O 4.219 5.446 3.477
O 2.748 8.231 11.671
O 8.973 10.444 0.779
O 9.702 2.006 7.004
O 3.477 4.219 5.446
O 1.981 6.869 2.747
O 10.469 0.644 3.478
O 4.244 5.580 8.972
O 8.205 11.805 9.703
O 2.747 1.981 6.869
O 3.478 10.469 0.644
O 8.972 4.244 5.580
O 9.703 8.205 11.805
O 6.869 2.747 1.981
O 0.644 3.478 10.469
O 5.580 8.972 4.244
O 11.805 9.703 8.205
O 10.469 5.580 9.703
O 1.981 11.805 8.972
O 8.205 6.869 3.478
O 4.244 0.644 2.747
O 9.703 10.469 5.580
O 8.972 1.981 11.805
O 3.478 8.205 6.869
O 2.747 4.244 0.644
O 5.580 9.703 10.469
O 11.805 8.972 1.981
O 6.869 3.478 8.205
O 0.644 2.747 4.244
O 6.216 8.127 12.415
O 6.234 1.902 6.260
O 0.009 4.323 6.190
O 12.441 10.548 0.035
O 12.415 6.216 8.127
O 6.260 6.234 1.902
O 6.190 0.009 4.323
O 0.035 12.441 10.548
O 8.127 12.415 6.216
O 1.902 6.260 6.234
O 4.323 6.190 0.009
O 10.548 0.035 12.441
O 6.234 4.323 0.035
O 6.216 10.548 6.190
O 12.441 8.127 6.260
O 0.009 1.902 12.415
O 0.035 6.234 4.323
O 6.190 6.216 10.548
O 6.260 12.441 8.127
O 12.415 0.009 1.902
O 4.323 0.035 6.234
O 10.548 6.190 6.216
O 8.127 6.260 12.441
O 1.902 12.415 0.009
```

Output
* magnetization: 0.01 μB per atom
* calculated total energy: -5.291 eV/atom

***

Entry 6:
A plane-wave DFT calculation with PBE was carried out for a geometry-optimized CsAlH2Pb structure. Values from VASP.

Quantum ESPRESSO input file:
```
&SYSTEM
  ibrav = 0, nat = 5, ntyp = 4
/
ATOMIC_SPECIES
Pb 207.20 Pb.upf
Cs 132.91 Cs.upf
Al 26.98 Al.upf
H 1.01 H.upf
CELL_PARAMETERS angstrom
-0.921 -2.489 -3.608
8.176 -0.440 -1.783
0.340 -3.716 2.477
ATOMIC_POSITIONS angstrom
Pb 4.088 -0.220 -0.891
Cs 0.000 0.000 0.000
Al 3.798 -3.323 -1.457
H 0.170 -1.858 1.239
H -0.460 -1.245 -1.804
```

Output
* magnetization: 0.07 μB per atom
* calculated total energy: -2.019 eV/atom

***

Entry 7:
A plane-wave DFT calculation with PBE was carried out for a geometry-optimized CsAlSiH2 structure. Values from VASP.

Quantum ESPRESSO input file:
```
&SYSTEM
  ibrav = 0, nat = 5, ntyp = 4
/
ATOMIC_SPECIES
Cs 132.91 Cs.upf
H 1.01 H.upf
Si 28.09 Si.upf
Al 26.98 Al.upf
CELL_PARAMETERS angstrom
-4.064 0.383 1.907
-2.110 -0.845 -4.328
-0.009 -4.421 0.868
ATOMIC_POSITIONS angstrom
Cs -3.092 -2.442 -0.777
H -0.005 -2.211 0.434
H -2.032 0.191 0.954
Si 0.000 0.000 0.000
Al -1.055 -0.422 -2.164
```

Output
* magnetization: 0.00 μB per atom
* calculated total energy: -2.684 eV/atom

***

Entry 8:
A plane-wave DFT calculation with PBE was carried out for a geometry-optimized CsSrAlH6 structure. Values from VASP.

Quantum ESPRESSO input file:
```
&SYSTEM
  ibrav = 0, nat = 9, ntyp = 4
/
ATOMIC_SPECIES
Cs 132.91 Cs.upf
Sr 87.62 Sr.upf
Al 26.98 Al.upf
H 1.01 H.upf
CELL_PARAMETERS angstrom
-5.202 0.862 -2.188
-4.461 -2.948 1.998
-0.999 4.261 4.055
ATOMIC_POSITIONS angstrom
Cs -10.662 2.175 3.865
Sr -6.942 0.740 1.901
Al -3.721 1.435 1.964
H -2.272 0.423 1.853
H -2.823 2.954 2.121
H -5.228 2.342 2.172
H -3.634 1.240 3.722
H -4.711 -0.011 1.708
H -3.656 1.663 0.209
```

Output
* magnetization: 0.00 μB per atom
* calculated total energy: -3.199 eV/atom

***

Entry 9:
A plane-wave DFT calculation with PBE was carried out for a geometry-optimized CsAlTcH6 structure. Values from VASP.

Quantum ESPRESSO input file:
```
&SYSTEM
  ibrav = 0, nat = 9, ntyp = 4
/
ATOMIC_SPECIES
Cs 132.91 Cs.upf
Al 26.98 Al.upf
Tc 98.00 Tc.upf
H 1.01 H.upf
CELL_PARAMETERS angstrom
4.498 0.205 -0.002
2.422 4.119 -0.005
-0.003 -0.009 6.395
ATOMIC_POSITIONS angstrom
Cs 4.448 0.212 0.001
Al 4.647 2.850 3.194
Tc 2.447 1.352 3.196
H 1.414 1.998 2.024
H 2.014 0.138 4.379
H 3.407 2.203 4.399
H 1.427 2.023 4.365
H 3.390 2.231 1.998
H 2.052 0.135 2.003
```

Output
* magnetization: 0.00 μB per atom
* calculated total energy: -4.031 eV/atom

***

Entry 10:
A plane-wave DFT calculation with PBE was carried out for a geometry-optimized CsAlZnH6 structure. Values from VASP.

Quantum ESPRESSO input file:
```
&SYSTEM
  ibrav = 0, nat = 9, ntyp = 4
/
ATOMIC_SPECIES
Cs 132.91 Cs.upf
Al 26.98 Al.upf
Zn 65.41 Zn.upf
H 1.01 H.upf
CELL_PARAMETERS angstrom
4.732 0.000 0.000
2.366 4.098 0.000
0.000 0.000 6.445
ATOMIC_POSITIONS angstrom
Cs 4.732 0.000 6.445
Al 2.366 1.366 3.223
Zn 4.732 2.732 3.223
H 0.923 1.494 2.212
H 1.755 0.052 4.233
H 3.809 1.494 4.233
H 1.534 2.552 4.233
H 3.198 2.552 2.212
H 2.977 0.052 2.212
```

Output
* magnetization: 0.00 μB per atom
* calculated total energy: -2.936 eV/atom

***

Entry 11:
A plane-wave DFT calculation with PBE was carried out for a geometry-optimized CsAl2ZnH8 structure. Values from VASP.

Quantum ESPRESSO input file:
```
&SYSTEM
  ibrav = 0, nat = 12, ntyp = 4
/
ATOMIC_SPECIES
Cs 132.91 Cs.upf
Al 26.98 Al.upf
Zn 65.41 Zn.upf
H 1.01 H.upf
CELL_PARAMETERS angstrom
5.423 0.000 0.000
2.712 4.697 0.000
2.712 1.566 7.615
ATOMIC_POSITIONS angstrom
Cs 5.423 3.131 3.808
Al 2.712 1.566 1.557
Al 8.135 4.697 6.059
Zn 0.000 0.000 0.000
H 2.712 1.566 3.203
H 4.218 1.028 1.061
H 8.135 4.697 4.412
H 2.424 3.139 1.061
H 8.422 3.124 6.554
H 1.493 0.530 1.061
H 9.354 5.732 6.554
H 6.629 5.235 6.554
```

Output
* magnetization: 0.00 μB per atom
* calculated total energy: -3.012 eV/atom

***

Entry 12:
A plane-wave DFT calculation with PBE was carried out for a geometry-optimized CsHfAl3 structure. Values from VASP.

Quantum ESPRESSO input file:
```
&SYSTEM
  ibrav = 0, nat = 5, ntyp = 3
/
ATOMIC_SPECIES
Cs 132.91 Cs.upf
Hf 178.49 Hf.upf
Al 26.98 Al.upf
CELL_PARAMETERS angstrom
-3.841 0.918 -3.851
2.904 -2.993 -3.610
-2.690 -4.541 1.601
ATOMIC_POSITIONS angstrom
Cs -1.813 -3.308 -2.930
Hf 0.000 0.000 0.000
Al 1.452 -1.496 -1.805
Al -1.345 -2.271 0.800
Al -1.920 0.459 -1.925
```

Output
* magnetization: 0.27 μB per atom
* calculated total energy: -3.758 eV/atom
* polymorph energy (0 for the lowest one): 0.0 meV per atom
* formation energy: 0.65 eV per atom